# 1
BaYRe2 after structural relaxation, computed with PBE-GGA.

Structure (POSCAR):
```
BaYRe2
1.0
5.213 -1.935 0.000
5.213 1.935 0.000
-3.144 0.000 6.333
Ba Y Re
1 1 2
direct
0.000 0.000 0.000 Ba
0.500 0.500 0.500 Y
0.259 0.259 0.603 Re
0.741 0.741 0.397 Re
```

Summary:
**Distance to the lowest polymorph of the same formula**: 332 meV/atom
**Mass density**: 7.78 g/cm3
**Formation energy**: 602 meV per atom
**Symmetry**: C2/m (12)

# 2
Ac4Pt2O after structural relaxation, computed with PBE-GGA.

Structure (POSCAR):
```
Ac4Pt2O
1.0
-2.558 2.558 7.823
2.558 -2.558 7.823
2.558 2.558 -7.823
Ac Pt O
4 2 1
direct
0.000 0.500 0.500 Ac
0.189 0.189 0.000 Ac
0.500 0.000 0.500 Ac
0.811 0.811 0.000 Ac
0.376 0.376 0.000 Pt
0.624 0.624 0.000 Pt
0.000 0.000 0.000 O
```

Summary:
**Mass density**: 10.66 g/cm3
**Formation energy (no corrections)**: -1.35 eV per atom
**Symmetry**: I4/mmm (139)

Sequential density of states at the Fermi level output: 3.7, 5.0 states/eV per cell
Sequential total magnetic moment output: 0.0, 0.0 μB per formula unit